LiCoI2O | GGA+U | optimized geometry

abc: 5.425 5.425 3.760
angles: 90.00 90.00 90.00
Each line ends with the local moment (μB).
Positions (direct):
I1 0.000 0.500 0.000  0.18
I2 0.500 0.000 0.000  0.18
Co1 0.500 0.500 0.500  2.48
O1 0.000 0.000 0.500  0.89
Li1 0.000 0.000 0.000  -0.01

Computed properties:
Symmetry   P4/mmm, No. 123
E above lowest polymorph   0.6577 eV per atom
Uncorrected energy   -14.3 eV per formula unit
DOS at the Fermi energy   3.23 states/eV/f.u.
Spin magnetization   0.827 μB per atom